The following is a DFT calculation (GGA-PBE) of a relaxed NdCd6 crystal.

a = 4.901 Å, b = 4.901 Å, c = 7.418 Å
α = 90.00°, β = 90.00°, γ = 90.00°
Element x y z (fractional)
Cd: 0.000 0.500 0.285
Cd: 0.500 0.000 0.715
Cd: 0.500 0.000 0.285
Cd: 0.000 0.500 0.715
Cd: 0.500 0.500 0.000
Cd: 0.000 0.000 0.500
Nd: 0.000 0.000 0.000

Calculated formation energy (kJ/mol of formula units): -121
E above lowest polymorph (eV/atom): 0.037
Volume (A^3/atom): 25.451
D(E_F) (states/eV per cell): 3.9